DFT (GGA-PBE) results for an optimized crystal structure of Zr2TaMn2.

Cell lengths 6.338, 6.338, 4.378 Å; angles 90.00, 90.00, 90.00 degrees
Atoms (fractional coordinates):
1 Mn 0.383 0.883 0.000
2 Mn 0.883 0.617 0.000
3 Mn 0.617 0.117 0.000
4 Mn 0.117 0.383 0.000
5 Zr 0.182 0.682 0.500
6 Zr 0.682 0.818 0.500
7 Zr 0.818 0.318 0.500
8 Zr 0.318 0.182 0.500
9 Ta 0.000 0.000 0.000
10 Ta 0.500 0.500 0.000

Output
energy of formation = 0.0269 eV/atom
V = 17.6 Å³ per atom